A plane-wave DFT calculation with PBE was carried out for a relaxed structure of In3Hg.

Lattice parameters (Å, degrees): 5.903 5.903 5.680 90.00 90.00 119.05
Element x y z (fractional)
In  0.000  0.000  0.500
In  0.500  0.000  0.000
In  0.000  0.500  0.000
Hg  0.000  0.000  0.000

Results
Its space group is Cmmm, No. 65. The total moment comes out at 0.0 μB/f.u. The value obtained for the formation energy is 0.44 eV per atom. For the density of states at the Fermi level, the calculation gives 0.65 states/eV/atom.